Here is a geometry-optimized Ga3PtRh2 structure from the Alexandria database. Energies are from PBE.

```
data_Ga3PtRh2
_chemical_formula_sum 'Ga6 Pt2 Rh4'
_cell_length_a 4.336
_cell_length_b 4.336
_cell_length_c 10.641
_cell_angle_alpha 90.00
_cell_angle_beta 90.00
_cell_angle_gamma 120.00
_space_group_name_H-M_alt 'P 1'
_space_group_IT_number 1
loop_
_space_group_symop_operation_xyz
'x,y,z'
loop_
_atom_site_label
_atom_site_type_symbol
_atom_site_fract_x
_atom_site_fract_y
_atom_site_fract_z
Ga1 Ga 0.333 0.667 0.417
Ga2 Ga 0.667 0.333 0.080
Ga3 Ga 0.000 0.000 0.753
Ga4 Ga 0.000 0.000 0.247
Ga5 Ga 0.333 0.667 0.920
Ga6 Ga 0.667 0.333 0.583
Pt1 Pt 0.333 0.667 0.669
Pt2 Pt 0.667 0.333 0.331
Rh1 Rh 0.000 0.000 0.500
Rh2 Rh 0.333 0.667 0.165
Rh3 Rh 0.667 0.333 0.835
Rh4 Rh 0.000 0.000 0.000
```

Summary:
- V: 173.22 Å³/cell
- M_tot: 0.000 μB per atom
- DFT formation energy: -600 meV per atom
- Final energy: -5.57 eV/atom

---

Here is a geometry-optimized GaPt4Rh3 structure from the Alexandria database. Energies are from PBE.

```
data_GaPt4Rh3
_chemical_formula_sum 'Ga1 Pt4 Rh3'
_cell_length_a 2.746
_cell_length_b 8.588
_cell_length_c 6.903
_cell_angle_alpha 128.47
_cell_angle_beta 101.47
_cell_angle_gamma 90.00
_space_group_name_H-M_alt 'P 1'
_space_group_IT_number 1
loop_
_space_group_symop_operation_xyz
'x,y,z'
loop_
_atom_site_label
_atom_site_type_symbol
_atom_site_fract_x
_atom_site_fract_y
_atom_site_fract_z
Rh1 Rh 0.202 0.202 0.404
Rh2 Rh 0.798 0.798 0.596
Rh3 Rh 0.000 0.500 0.000
Pt1 Pt 0.371 0.602 0.742
Pt2 Pt 0.629 0.398 0.258
Pt3 Pt 0.629 0.860 0.258
Pt4 Pt 0.371 0.140 0.742
Ga1 Ga 0.500 0.000 0.000
```

Summary:
- V: 123.29 Å³/cell
- M_tot: 0.000 μB per atom
- DFT formation energy: -95 meV per atom
- Final energy: -6.25 eV/atom

---

Here is a geometry-optimized Ga5Pt2Rh2 structure from the Alexandria database. Energies are from PBE.

```
data_Ga5Pt2Rh2
_chemical_formula_sum 'Ga10 Pt4 Rh4'
_cell_length_a 5.969
_cell_length_b 6.704
_cell_length_c 8.653
_cell_angle_alpha 112.79
_cell_angle_beta 110.18
_cell_angle_gamma 90.00
_space_group_name_H-M_alt 'P 1'
_space_group_IT_number 1
loop_
_space_group_symop_operation_xyz
'x,y,z'
loop_
_atom_site_label
_atom_site_type_symbol
_atom_site_fract_x
_atom_site_fract_y
_atom_site_fract_z
Ga1 Ga 0.264 0.630 0.849
Ga2 Ga 0.736 0.780 0.151
Ga3 Ga 0.086 0.130 0.849
Ga4 Ga 0.914 0.280 0.151
Ga5 Ga 0.291 0.030 0.323
Ga6 Ga 0.709 0.707 0.677
Ga7 Ga 0.532 0.530 0.323
Ga8 Ga 0.468 0.207 0.677
Ga9 Ga 0.116 0.794 0.500
Ga10 Ga 0.884 0.294 0.500
Pt1 Pt 0.000 0.896 0.000
Pt2 Pt 0.500 0.396 0.000
Pt3 Pt 0.278 0.441 0.500
Pt4 Pt 0.722 0.941 0.500
Rh1 Rh 0.132 0.623 0.187
Rh2 Rh 0.868 0.436 0.813
Rh3 Rh 0.555 0.123 0.187
Rh4 Rh 0.445 0.936 0.813
```

Summary:
- V: 296.04 Å³/cell
- M_tot: 0.000 μB per atom
- DFT formation energy: -485 meV per atom
- Final energy: -5.14 eV/atom

---

Here is a geometry-optimized Ga4PtRh2 structure from the Alexandria database. Energies are from PBE.

```
data_Ga4PtRh2
_chemical_formula_sum 'Ga8 Pt2 Rh4'
_cell_length_a 5.553
_cell_length_b 4.966
_cell_length_c 8.017
_cell_angle_alpha 90.00
_cell_angle_beta 100.81
_cell_angle_gamma 90.00
_space_group_name_H-M_alt 'P 1'
_space_group_IT_number 1
loop_
_space_group_symop_operation_xyz
'x,y,z'
loop_
_atom_site_label
_atom_site_type_symbol
_atom_site_fract_x
_atom_site_fract_y
_atom_site_fract_z
Ga1 Ga 0.592 0.500 0.263
Ga2 Ga 0.013 0.750 0.838
Ga3 Ga 0.987 0.250 0.162
Ga4 Ga 0.592 0.000 0.263
Ga5 Ga 0.889 0.250 0.545
Ga6 Ga 0.408 0.000 0.737
Ga7 Ga 0.408 0.500 0.737
Ga8 Ga 0.111 0.750 0.455
Pt1 Pt 0.183 0.750 0.155
Pt2 Pt 0.817 0.250 0.845
Rh1 Rh 0.664 0.750 0.002
Rh2 Rh 0.336 0.250 0.998
Rh3 Rh 0.308 0.250 0.447
Rh4 Rh 0.692 0.750 0.553
```

Summary:
- V: 217.12 Å³/cell
- M_tot: 0.000 μB per atom
- DFT formation energy: -409 meV per atom
- Final energy: -5.10 eV/atom

---

Here is a geometry-optimized GaPt2Rh structure from the Alexandria database. Energies are from PBE.

```
data_GaPt2Rh
_chemical_formula_sum 'Ga2 Pt4 Rh2'
_cell_length_a 3.763
_cell_length_b 3.763
_cell_length_c 9.647
_cell_angle_alpha 78.75
_cell_angle_beta 78.75
_cell_angle_gamma 90.00
_space_group_name_H-M_alt 'P 1'
_space_group_IT_number 1
loop_
_space_group_symop_operation_xyz
'x,y,z'
loop_
_atom_site_label
_atom_site_type_symbol
_atom_site_fract_x
_atom_site_fract_y
_atom_site_fract_z
Rh1 Rh 0.000 0.000 0.000
Rh2 Rh 0.750 0.250 0.500
Ga1 Ga 0.500 0.500 0.000
Ga2 Ga 0.250 0.750 0.500
Pt1 Pt 0.627 0.125 0.250
Pt2 Pt 0.123 0.625 0.250
Pt3 Pt 0.375 0.373 0.750
Pt4 Pt 0.875 0.877 0.750
```

Summary:
- V: 131.30 Å³/cell
- M_tot: 0.000 μB per atom
- DFT formation energy: -64 meV per atom
- Final energy: -5.68 eV/atom

---

Here is a geometry-optimized GaPtRhSe2 structure from the Alexandria database. Energies are from PBE.

```
data_GaPtRhSe2
_chemical_formula_sum 'Ga1 Pt1 Rh1 Se2'
_cell_length_a 4.830
_cell_length_b 5.050
_cell_length_c 4.830
_cell_angle_alpha 90.00
_cell_angle_beta 90.00
_cell_angle_gamma 90.00
_space_group_name_H-M_alt 'P 1'
_space_group_IT_number 1
loop_
_space_group_symop_operation_xyz
'x,y,z'
loop_
_atom_site_label
_atom_site_type_symbol
_atom_site_fract_x
_atom_site_fract_y
_atom_site_fract_z
Ga1 Ga 0.500 0.500 0.500
Rh1 Rh 0.000 0.000 0.000
Se1 Se 0.000 0.000 0.500
Se2 Se 0.500 0.000 0.000
Pt1 Pt 0.000 0.500 0.000
```

Summary:
- ΔE_f (raw): 0.501 eV/atom
- V: 117.83 Å³/cell
- M_tot: 0.408 μB per atom
- Final energy: -4.18 eV/atom

---

Here is a geometry-optimized Sm2Ga4PtRh3 structure from the Alexandria database. Energies are from PBE.

```
data_Sm2Ga4PtRh3
_chemical_formula_sum 'Sm2 Ga4 Pt1 Rh3'
_cell_length_a 4.257
_cell_length_b 4.257
_cell_length_c 10.270
_cell_angle_alpha 90.00
_cell_angle_beta 90.00
_cell_angle_gamma 90.00
_space_group_name_H-M_alt 'P 1'
_space_group_IT_number 1
loop_
_space_group_symop_operation_xyz
'x,y,z'
loop_
_atom_site_label
_atom_site_type_symbol
_atom_site_fract_x
_atom_site_fract_y
_atom_site_fract_z
Sm1 Sm 0.500 0.000 0.256
Sm2 Sm 0.000 0.500 0.744
Ga1 Ga 0.500 0.500 0.000
Ga2 Ga 0.000 0.000 0.000
Ga3 Ga 0.500 0.000 0.632
Ga4 Ga 0.000 0.500 0.368
Pt1 Pt 0.500 0.500 0.500
Rh1 Rh 0.000 0.000 0.500
Rh2 Rh 0.500 0.000 0.871
Rh3 Rh 0.000 0.500 0.129
```

Summary:
- V: 186.12 Å³/cell
- M_tot: 0.000 μB per atom
- DFT formation energy: -842 meV per atom
- Final energy: -5.81 eV/atom

---

Here is a geometry-optimized SmGa2Pt2Rh structure from the Alexandria database. Energies are from PBE.

```
data_SmGa2Pt2Rh
_chemical_formula_sum 'Sm1 Ga2 Pt2 Rh1'
_cell_length_a 3.884
_cell_length_b 3.884
_cell_length_c 9.974
_cell_angle_alpha 101.23
_cell_angle_beta 101.23
_cell_angle_gamma 90.00
_space_group_name_H-M_alt 'P 1'
_space_group_IT_number 1
loop_
_space_group_symop_operation_xyz
'x,y,z'
loop_
_atom_site_label
_atom_site_type_symbol
_atom_site_fract_x
_atom_site_fract_y
_atom_site_fract_z
Sm1 Sm 0.500 0.500 0.000
Ga1 Ga 0.339 0.339 0.677
Ga2 Ga 0.661 0.661 0.323
Pt1 Pt 0.250 0.750 0.500
Pt2 Pt 0.750 0.250 0.500
Rh1 Rh 0.000 0.000 0.000
```

Summary:
- V: 144.61 Å³/cell
- M_tot: 0.000 μB per atom
- DFT formation energy: -90 meV per atom
- Final energy: -5.12 eV/atom

---

Here is a geometry-optimized SrGa4Pt2Rh structure from the Alexandria database. Energies are from PBE.

```
data_SrGa4Pt2Rh
_chemical_formula_sum 'Sr1 Ga4 Pt2 Rh1'
_cell_length_a 4.293
_cell_length_b 4.293
_cell_length_c 9.699
_cell_angle_alpha 77.21
_cell_angle_beta 77.21
_cell_angle_gamma 60.00
_space_group_name_H-M_alt 'P 1'
_space_group_IT_number 1
loop_
_space_group_symop_operation_xyz
'x,y,z'
loop_
_atom_site_label
_atom_site_type_symbol
_atom_site_fract_x
_atom_site_fract_y
_atom_site_fract_z
Sr1 Sr 0.000 0.000 0.000
Ga1 Ga 0.405 0.405 0.784
Ga2 Ga 0.866 0.866 0.401
Ga3 Ga 0.134 0.134 0.599
Ga4 Ga 0.595 0.595 0.216
Pt1 Pt 0.769 0.769 0.694
Pt2 Pt 0.231 0.231 0.306
Rh1 Rh 0.500 0.500 0.500
```

Summary:
- V: 149.67 Å³/cell
- M_tot: 0.000 μB per atom
- DFT formation energy: -671 meV per atom
- Final energy: -4.82 eV/atom

---

Here is a geometry-optimized Sr2Ga3Pt4Rh structure from the Alexandria database. Energies are from PBE.

```
data_Sr2Ga3Pt4Rh
_chemical_formula_sum 'Sr2 Ga3 Pt4 Rh1'
_cell_length_a 4.212
_cell_length_b 4.212
_cell_length_c 11.145
_cell_angle_alpha 90.00
_cell_angle_beta 90.00
_cell_angle_gamma 90.00
_space_group_name_H-M_alt 'P 1'
_space_group_IT_number 1
loop_
_space_group_symop_operation_xyz
'x,y,z'
loop_
_atom_site_label
_atom_site_type_symbol
_atom_site_fract_x
_atom_site_fract_y
_atom_site_fract_z
Sr1 Sr 0.500 0.000 0.255
Sr2 Sr 0.000 0.500 0.745
Ga1 Ga 0.000 0.000 0.500
Ga2 Ga 0.500 0.000 0.869
Ga3 Ga 0.000 0.500 0.131
Pt1 Pt 0.500 0.500 0.000
Pt2 Pt 0.000 0.000 0.000
Pt3 Pt 0.500 0.000 0.646
Pt4 Pt 0.000 0.500 0.354
Rh1 Rh 0.500 0.500 0.500
```

Summary:
- V: 197.71 Å³/cell
- M_tot: 0.000 μB per atom
- DFT formation energy: -742 meV per atom
- Final energy: -5.14 eV/atom

---

Here is a geometry-optimized SrGa2PtRh structure from the Alexandria database. Energies are from PBE.

```
data_SrGa2PtRh
_chemical_formula_sum 'Sr1 Ga2 Pt1 Rh1'
_cell_length_a 4.283
_cell_length_b 4.283
_cell_length_c 6.187
_cell_angle_alpha 110.25
_cell_angle_beta 110.25
_cell_angle_gamma 90.00
_space_group_name_H-M_alt 'P 1'
_space_group_IT_number 1
loop_
_space_group_symop_operation_xyz
'x,y,z'
loop_
_atom_site_label
_atom_site_type_symbol
_atom_site_fract_x
_atom_site_fract_y
_atom_site_fract_z
Sr1 Sr 0.000 0.000 0.000
Ga1 Ga 0.628 0.628 0.255
Ga2 Ga 0.372 0.372 0.745
Pt1 Pt 0.250 0.750 0.500
Rh1 Rh 0.750 0.250 0.500
```

Summary:
- V: 98.98 Å³/cell
- M_tot: 0.000 μB per atom
- DFT formation energy: -769 meV per atom
- Final energy: -4.99 eV/atom

---

Here is a geometry-optimized TaGaPtRh structure from the Alexandria database. Energies are from PBE.

```
data_TaGaPtRh
_chemical_formula_sum 'Ta1 Ga1 Pt1 Rh1'
_cell_length_a 4.473
_cell_length_b 4.473
_cell_length_c 4.473
_cell_angle_alpha 60.00
_cell_angle_beta 60.00
_cell_angle_gamma 60.00
_space_group_name_H-M_alt 'P 1'
_space_group_IT_number 1
loop_
_space_group_symop_operation_xyz
'x,y,z'
loop_
_atom_site_label
_atom_site_type_symbol
_atom_site_fract_x
_atom_site_fract_y
_atom_site_fract_z
Rh1 Rh 0.250 0.250 0.250
Ga1 Ga 0.000 0.000 0.000
Pt1 Pt 0.750 0.750 0.750
Ta1 Ta 0.500 0.500 0.500
```

Summary:
- V: 63.30 Å³/cell
- M_tot: 0.000 μB per atom
- DFT formation energy: -476 meV per atom
- Final energy: -7.54 eV/atom